[1]
Density functional theory data (PBE) for an optimized crystal structure of Li3Mg4Ag4. Values from VASP.

Output
ΔE_f: -0.044 eV/atom
E_tot: -2.18 eV per atom

```
&SYSTEM
  ibrav = 0, nat = 11, ntyp = 3
/
ATOMIC_SPECIES
Li 6.94 Li.upf
Mg 24.30 Mg.upf
Ag 107.87 Ag.upf
ATOMIC_POSITIONS crystal
Li 0.000 0.000 0.000
Li 0.365 0.865 0.500
Li 0.635 0.135 0.500
Mg 0.173 0.173 0.000
Mg 0.260 0.500 0.760
Mg 0.740 0.500 0.240
Mg 0.827 0.827 0.000
Ag 0.063 0.319 0.744
Ag 0.424 0.681 0.744
Ag 0.576 0.319 0.256
Ag 0.937 0.681 0.256
CELL_PARAMETERS angstrom
-2.351 3.075 7.577
2.351 -3.075 7.577
2.351 3.075 -7.577
```

***

[2]
Density functional theory data (PBE) for an optimized crystal structure of Li9Mg2Ag. Values from VASP.

Output
ΔE_f: -0.027 eV/atom
E_tot: -1.97 eV per atom

```
&SYSTEM
  ibrav = 0, nat = 12, ntyp = 3
/
ATOMIC_SPECIES
Li 6.94 Li.upf
Mg 24.30 Mg.upf
Ag 107.87 Ag.upf
ATOMIC_POSITIONS crystal
Li 0.000 0.000 0.000
Li 0.168 0.660 0.744
Li 0.169 0.169 0.743
Li 0.335 0.335 0.433
Li 0.340 0.832 0.256
Li 0.660 0.168 0.744
Li 0.665 0.665 0.567
Li 0.831 0.831 0.257
Li 0.832 0.340 0.256
Mg 0.334 0.334 0.058
Mg 0.666 0.666 0.942
Ag 0.000 0.000 0.500
CELL_PARAMETERS angstrom
4.847 -2.737 0.000
4.847 2.737 0.000
-0.019 0.000 8.773
```

***

[3]
Density functional theory data (PBE) for an optimized crystal structure of LiMgAg6. Values from VASP.

Output
ΔE_f: -0.140 eV/atom
E_tot: -2.72 eV per atom

```
&SYSTEM
  ibrav = 0, nat = 8, ntyp = 3
/
ATOMIC_SPECIES
Li 6.94 Li.upf
Mg 24.30 Mg.upf
Ag 107.87 Ag.upf
ATOMIC_POSITIONS crystal
Li 0.000 0.000 0.000
Mg 0.000 0.000 0.500
Ag 0.000 0.500 0.245
Ag 0.000 0.500 0.755
Ag 0.500 0.000 0.245
Ag 0.500 0.000 0.755
Ag 0.500 0.500 0.000
Ag 0.500 0.500 0.500
CELL_PARAMETERS angstrom
4.119 0.000 0.000
0.000 4.119 0.000
0.000 0.000 8.264
```

***

[4]
Density functional theory data (PBE) for an optimized crystal structure of Li3MgAg12. Values from VASP.

Output
ΔE_f: -0.132 eV/atom
E_tot: -2.73 eV per atom

```
&SYSTEM
  ibrav = 0, nat = 16, ntyp = 3
/
ATOMIC_SPECIES
Li 6.94 Li.upf
Mg 24.30 Mg.upf
Ag 107.87 Ag.upf
ATOMIC_POSITIONS crystal
Li 0.000 0.000 0.000
Li 0.000 0.000 0.246
Li 0.000 0.000 0.754
Mg 0.000 0.000 0.500
Ag 0.000 0.500 0.123
Ag 0.000 0.500 0.371
Ag 0.000 0.500 0.629
Ag 0.000 0.500 0.877
Ag 0.500 0.000 0.123
Ag 0.500 0.000 0.371
Ag 0.500 0.000 0.629
Ag 0.500 0.000 0.877
Ag 0.500 0.500 0.000
Ag 0.500 0.500 0.247
Ag 0.500 0.500 0.500
Ag 0.500 0.500 0.753
CELL_PARAMETERS angstrom
4.090 0.000 0.000
0.000 4.090 0.000
0.000 0.000 16.549
```

***

[5]
Density functional theory data (PBE) for an optimized crystal structure of LiMg4Ag4. Values from VASP.

Output
ΔE_f: -0.151 eV/atom
E_tot: -2.34 eV per atom

```
&SYSTEM
  ibrav = 0, nat = 9, ntyp = 3
/
ATOMIC_SPECIES
Li 6.94 Li.upf
Mg 24.30 Mg.upf
Ag 107.87 Ag.upf
ATOMIC_POSITIONS crystal
Li 0.000 0.000 0.000
Mg 0.332 0.332 0.664
Mg 0.332 0.668 0.000
Mg 0.668 0.332 0.000
Mg 0.668 0.668 0.336
Ag 0.000 0.329 0.329
Ag 0.000 0.671 0.671
Ag 0.329 0.000 0.329
Ag 0.671 0.000 0.671
CELL_PARAMETERS angstrom
-4.450 4.450 2.115
4.450 -4.450 2.115
4.450 4.450 -2.115
```

***

[6]
Density functional theory data (PBE) for an optimized crystal structure of Li3Mg5Ag. Values from VASP.

Output
ΔE_f: 0.148 eV/atom
E_tot: -1.69 eV per atom

```
&SYSTEM
  ibrav = 0, nat = 18, ntyp = 3
/
ATOMIC_SPECIES
Li 6.94 Li.upf
Mg 24.30 Mg.upf
Ag 107.87 Ag.upf
ATOMIC_POSITIONS crystal
Li 0.000 0.000 0.000
Li 0.000 0.000 0.500
Li 0.245 0.245 0.382
Li 0.262 0.262 0.940
Li 0.738 0.738 0.060
Li 0.755 0.755 0.618
Mg 0.010 0.607 0.840
Mg 0.272 0.272 0.650
Mg 0.318 0.682 0.500
Mg 0.393 0.990 0.160
Mg 0.468 0.468 0.169
Mg 0.532 0.532 0.831
Mg 0.607 0.010 0.840
Mg 0.682 0.318 0.500
Mg 0.728 0.728 0.350
Mg 0.990 0.393 0.160
Ag 0.021 0.021 0.750
Ag 0.979 0.979 0.250
CELL_PARAMETERS angstrom
4.854 -4.073 0.000
4.854 4.073 0.000
-0.805 0.000 10.447
```

***

[7]
Density functional theory data (PBE) for an optimized crystal structure of Li6Mg2Ag3. Values from VASP.

Output
ΔE_f: -0.084 eV/atom
E_tot: -2.20 eV per atom

```
&SYSTEM
  ibrav = 0, nat = 11, ntyp = 3
/
ATOMIC_SPECIES
Li 6.94 Li.upf
Mg 24.30 Mg.upf
Ag 107.87 Ag.upf
ATOMIC_POSITIONS crystal
Li 0.098 0.902 0.000
Li 0.148 0.478 0.000
Li 0.478 0.148 0.000
Li 0.522 0.852 0.000
Li 0.852 0.522 0.000
Li 0.902 0.098 0.000
Mg 0.223 0.223 0.500
Mg 0.777 0.777 0.500
Ag 0.226 0.774 0.500
Ag 0.500 0.500 0.000
Ag 0.774 0.226 0.500
CELL_PARAMETERS angstrom
4.108 -8.243 0.000
4.108 8.243 0.000
0.000 0.000 3.058
```

***

[8]
Density functional theory data (PBE) for an optimized crystal structure of Li19Mg6Ag4. Values from VASP.

Output
ΔE_f: 0.034 eV/atom
E_tot: -1.94 eV per atom

```
&SYSTEM
  ibrav = 0, nat = 29, ntyp = 3
/
ATOMIC_SPECIES
Li 6.94 Li.upf
Mg 24.30 Mg.upf
Ag 107.87 Ag.upf
ATOMIC_POSITIONS crystal
Li 0.000 0.000 0.000
Li 0.000 0.250 0.250
Li 0.000 0.750 0.750
Li 0.021 0.207 0.688
Li 0.186 0.979 0.667
Li 0.207 0.688 0.021
Li 0.250 0.000 0.250
Li 0.250 0.250 0.000
Li 0.312 0.519 0.333
Li 0.333 0.312 0.519
Li 0.481 0.793 0.814
Li 0.519 0.333 0.312
Li 0.667 0.186 0.979
Li 0.688 0.021 0.207
Li 0.750 0.000 0.750
Li 0.750 0.750 0.000
Li 0.793 0.814 0.481
Li 0.814 0.481 0.793
Li 0.979 0.667 0.186
Mg 0.142 0.500 0.642
Mg 0.358 0.858 0.500
Mg 0.500 0.358 0.858
Mg 0.500 0.642 0.142
Mg 0.642 0.142 0.500
Mg 0.858 0.500 0.358
Ag 0.000 0.000 0.362
Ag 0.000 0.362 0.000
Ag 0.362 0.000 0.000
Ag 0.638 0.638 0.638
CELL_PARAMETERS angstrom
-5.214 5.214 5.214
5.214 -5.214 5.214
5.214 5.214 -5.214
```

***

[9]
Density functional theory data (PBE) for an optimized crystal structure of LiMg5Ag8. Values from VASP.

Output
ΔE_f: -0.107 eV/atom
E_tot: -2.44 eV per atom

```
&SYSTEM
  ibrav = 0, nat = 14, ntyp = 3
/
ATOMIC_SPECIES
Li 6.94 Li.upf
Mg 24.30 Mg.upf
Ag 107.87 Ag.upf
ATOMIC_POSITIONS crystal
Li 0.000 0.000 0.000
Mg 0.289 0.632 0.097
Mg 0.368 0.465 0.657
Mg 0.535 0.192 0.903
Mg 0.750 0.250 0.500
Mg 0.808 0.711 0.343
Ag 0.008 0.412 0.260
Ag 0.086 0.154 0.740
Ag 0.152 0.748 0.740
Ag 0.252 0.992 0.404
Ag 0.414 0.346 0.260
Ag 0.588 0.848 0.596
Ag 0.654 0.914 0.068
Ag 0.846 0.586 0.932
CELL_PARAMETERS angstrom
-4.038 4.038 4.073
4.038 -4.038 4.073
4.038 4.038 -4.073
```

***

[10]
Density functional theory data (PBE) for an optimized crystal structure of LiMg2Ag. Values from VASP.

Output
ΔE_f: -0.130 eV/atom
E_tot: -2.12 eV per atom

```
&SYSTEM
  ibrav = 0, nat = 4, ntyp = 3
/
ATOMIC_SPECIES
Li 6.94 Li.upf
Mg 24.30 Mg.upf
Ag 107.87 Ag.upf
ATOMIC_POSITIONS crystal
Li 0.000 0.000 0.000
Mg 0.250 0.250 0.250
Mg 0.500 0.500 0.500
Ag 0.750 0.750 0.750
CELL_PARAMETERS angstrom
0.000 3.355 3.355
3.355 0.000 3.355
3.355 3.355 0.000
```

***

[11]
Density functional theory data (PBE) for an optimized crystal structure of Li8Mg2Ag. Values from VASP.

Output
ΔE_f: -0.067 eV/atom
E_tot: -2.01 eV per atom

```
&SYSTEM
  ibrav = 0, nat = 11, ntyp = 3
/
ATOMIC_SPECIES
Li 6.94 Li.upf
Mg 24.30 Mg.upf
Ag 107.87 Ag.upf
ATOMIC_POSITIONS crystal
Li 0.030 0.030 0.240
Li 0.143 0.143 0.654
Li 0.331 0.331 0.602
Li 0.411 0.411 0.069
Li 0.589 0.589 0.931
Li 0.669 0.669 0.398
Li 0.857 0.857 0.346
Li 0.970 0.970 0.760
Mg 0.218 0.218 0.138
Mg 0.782 0.782 0.862
Ag 0.500 0.500 0.500
CELL_PARAMETERS angstrom
7.519 -2.284 0.000
7.519 2.284 0.000
-1.282 0.000 6.089
```

***

[12]
Density functional theory data (PBE) for an optimized crystal structure of LiMg6Ag10. Values from VASP.

Output
ΔE_f: -0.125 eV/atom
E_tot: -2.48 eV per atom

```
&SYSTEM
  ibrav = 0, nat = 17, ntyp = 3
/
ATOMIC_SPECIES
Li 6.94 Li.upf
Mg 24.30 Mg.upf
Ag 107.87 Ag.upf
ATOMIC_POSITIONS crystal
Li 0.000 0.000 0.000
Mg 0.000 0.357 0.810
Mg 0.000 0.643 0.190
Mg 0.357 0.000 0.810
Mg 0.357 0.357 0.190
Mg 0.643 0.000 0.190
Mg 0.643 0.643 0.810
Ag 0.000 0.299 0.324
Ag 0.000 0.701 0.676
Ag 0.299 0.000 0.324
Ag 0.299 0.299 0.676
Ag 0.333 0.667 0.000
Ag 0.333 0.667 0.500
Ag 0.667 0.333 0.000
Ag 0.667 0.333 0.500
Ag 0.701 0.000 0.676
Ag 0.701 0.701 0.324
CELL_PARAMETERS angstrom
8.064 0.000 0.000
-4.032 6.983 0.000
0.000 0.000 5.677
```

***

[13]
Density functional theory data (PBE) for an optimized crystal structure of Li5MgAg6. Values from VASP.

Output
ΔE_f: -0.211 eV/atom
E_tot: -2.57 eV per atom

```
&SYSTEM
  ibrav = 0, nat = 12, ntyp = 3
/
ATOMIC_SPECIES
Li 6.94 Li.upf
Mg 24.30 Mg.upf
Ag 107.87 Ag.upf
ATOMIC_POSITIONS crystal
Li 0.000 0.000 0.000
Li 0.172 0.828 0.500
Li 0.338 0.662 0.000
Li 0.662 0.338 0.000
Li 0.828 0.172 0.500
Mg 0.500 0.500 0.500
Ag 0.071 0.409 0.240
Ag 0.232 0.232 0.732
Ag 0.409 0.071 0.240
Ag 0.591 0.929 0.760
Ag 0.768 0.768 0.268
Ag 0.929 0.591 0.760
CELL_PARAMETERS angstrom
4.103 -6.481 0.000
4.103 6.481 0.000
-2.318 0.000 3.720
```

***

[14]
Density functional theory data (PBE) for an optimized crystal structure of Li15MgAg4. Values from VASP.

Output
ΔE_f: -0.110 eV/atom
E_tot: -2.20 eV per atom

```
&SYSTEM
  ibrav = 0, nat = 20, ntyp = 3
/
ATOMIC_SPECIES
Li 6.94 Li.upf
Mg 24.30 Mg.upf
Ag 107.87 Ag.upf
ATOMIC_POSITIONS crystal
Li 0.000 0.000 0.000
Li 0.000 0.000 0.209
Li 0.000 0.000 0.403
Li 0.000 0.000 0.597
Li 0.000 0.000 0.791
Li 0.000 0.500 0.112
Li 0.000 0.500 0.306
Li 0.000 0.500 0.500
Li 0.000 0.500 0.694
Li 0.000 0.500 0.888
Li 0.500 0.000 0.112
Li 0.500 0.000 0.306
Li 0.500 0.000 0.500
Li 0.500 0.000 0.694
Li 0.500 0.000 0.888
Mg 0.500 0.500 0.000
Ag 0.500 0.500 0.208
Ag 0.500 0.500 0.403
Ag 0.500 0.500 0.597
Ag 0.500 0.500 0.792
CELL_PARAMETERS angstrom
4.166 0.000 0.000
0.000 4.166 0.000
0.000 0.000 20.161
```

***

[15]
Density functional theory data (PBE) for an optimized crystal structure of Li2MgAg. Values from VASP.

Output
ΔE_f: -0.158 eV/atom
E_tot: -2.23 eV per atom

```
&SYSTEM
  ibrav = 0, nat = 4, ntyp = 3
/
ATOMIC_SPECIES
Li 6.94 Li.upf
Mg 24.30 Mg.upf
Ag 107.87 Ag.upf
ATOMIC_POSITIONS crystal
Li 0.000 0.500 0.000
Li 0.500 0.000 0.000
Mg 0.000 0.000 0.500
Ag 0.500 0.500 0.500
CELL_PARAMETERS angstrom
4.104 0.000 0.000
0.000 4.104 0.000
0.000 0.000 4.250
```

***

[16]
Density functional theory data (PBE) for an optimized crystal structure of Li5Mg4Ag2. Values from VASP.

Output
ΔE_f: -0.089 eV/atom
E_tot: -2.06 eV per atom

```
&SYSTEM
  ibrav = 0, nat = 11, ntyp = 3
/
ATOMIC_SPECIES
Li 6.94 Li.upf
Mg 24.30 Mg.upf
Ag 107.87 Ag.upf
ATOMIC_POSITIONS crystal
Li 0.000 0.000 0.000
Li 0.065 0.000 0.301
Li 0.299 0.000 0.835
Li 0.701 0.000 0.165
Li 0.935 0.000 0.699
Mg 0.240 0.500 0.554
Mg 0.339 0.500 0.112
Mg 0.661 0.500 0.888
Mg 0.760 0.500 0.446
Ag 0.437 0.000 0.354
Ag 0.563 0.000 0.646
CELL_PARAMETERS angstrom
7.385 0.000 0.000
0.000 3.040 0.000
-0.561 0.000 9.759
```

***

[17]
Density functional theory data (PBE) for an optimized crystal structure of LiMgAg14. Values from VASP.

Output
ΔE_f: -0.060 eV/atom
E_tot: -2.77 eV per atom

```
&SYSTEM
  ibrav = 0, nat = 16, ntyp = 3
/
ATOMIC_SPECIES
Li 6.94 Li.upf
Mg 24.30 Mg.upf
Ag 107.87 Ag.upf
ATOMIC_POSITIONS crystal
Li 0.000 0.000 0.000
Mg 0.500 0.500 0.000
Ag 0.000 0.000 0.500
Ag 0.000 0.500 0.000
Ag 0.000 0.500 0.500
Ag 0.249 0.249 0.247
Ag 0.249 0.249 0.753
Ag 0.249 0.751 0.247
Ag 0.249 0.751 0.753
Ag 0.500 0.000 0.000
Ag 0.500 0.000 0.500
Ag 0.500 0.500 0.500
Ag 0.751 0.249 0.247
Ag 0.751 0.249 0.753
Ag 0.751 0.751 0.247
Ag 0.751 0.751 0.753
CELL_PARAMETERS angstrom
5.973 0.000 0.000
0.000 5.973 0.000
0.000 0.000 7.944
```

***

[18]
Density functional theory data (PBE) for an optimized crystal structure of Li5MgAg8. Values from VASP.

Output
ΔE_f: -0.091 eV/atom
E_tot: -2.52 eV per atom

```
&SYSTEM
  ibrav = 0, nat = 14, ntyp = 3
/
ATOMIC_SPECIES
Li 6.94 Li.upf
Mg 24.30 Mg.upf
Ag 107.87 Ag.upf
ATOMIC_POSITIONS crystal
Li 0.000 0.000 0.000
Li 0.287 0.194 0.655
Li 0.368 0.713 0.908
Li 0.539 0.632 0.345
Li 0.806 0.461 0.092
Mg 0.750 0.250 0.500
Ag 0.018 0.757 0.595
Ag 0.090 0.348 0.929
Ag 0.162 0.423 0.405
Ag 0.243 0.838 0.261
Ag 0.419 0.161 0.071
Ag 0.577 0.982 0.739
Ag 0.652 0.581 0.742
Ag 0.839 0.910 0.258
CELL_PARAMETERS angstrom
-3.944 3.944 3.948
3.944 -3.944 3.948
3.944 3.944 -3.948
```

***

[19]
Density functional theory data (PBE) for an optimized crystal structure of Li3Mg5Ag2. Values from VASP.

Output
ΔE_f: -0.064 eV/atom
E_tot: -2.01 eV per atom

```
&SYSTEM
  ibrav = 0, nat = 10, ntyp = 3
/
ATOMIC_SPECIES
Li 6.94 Li.upf
Mg 24.30 Mg.upf
Ag 107.87 Ag.upf
ATOMIC_POSITIONS crystal
Li 0.000 0.000 0.000
Li 0.409 0.409 0.182
Li 0.591 0.591 0.818
Mg 0.208 0.208 0.109
Mg 0.360 0.360 0.657
Mg 0.500 0.500 0.500
Mg 0.640 0.640 0.343
Mg 0.792 0.792 0.891
Ag 0.168 0.168 0.629
Ag 0.832 0.832 0.371
CELL_PARAMETERS angstrom
7.819 -1.491 0.000
7.819 1.491 0.000
-3.780 0.000 8.781
```